A:
# SrPmCdAg | Alexandria via LeMat-Bulk | PBE-GGA | relaxed
data_SrPmCdAg
_space_group_name_H-M_alt 'P 1'
_space_group_IT_number 1
_cell_length_a 7.7397
_cell_length_b 7.7397
_cell_length_c 7.7397
_cell_angle_alpha 90.00
_cell_angle_beta 90.00
_cell_angle_gamma 90.00
loop_
_space_group_symop_operation_xyz
'x,y,z'
loop_
_atom_site_label
_atom_site_fract_x
_atom_site_fract_y
_atom_site_fract_z
Sr1 0.0000 0.0000 0.0000
Sr2 0.0000 0.5000 0.5000
Sr3 0.5000 0.0000 0.5000
Sr4 0.5000 0.5000 0.0000
Pm1 0.0000 0.0000 0.5000
Pm2 0.0000 0.5000 0.0000
Pm3 0.5000 0.0000 0.0000
Pm4 0.5000 0.5000 0.5000
Cd1 0.2500 0.2500 0.2500
Cd2 0.2500 0.7500 0.7500
Cd3 0.7500 0.2500 0.7500
Cd4 0.7500 0.7500 0.2500
Ag1 0.2500 0.2500 0.7500
Ag2 0.2500 0.7500 0.2500
Ag3 0.7500 0.2500 0.2500
Ag4 0.7500 0.7500 0.7500
# * size of the total moment: 0.000 μB per formula unit
# * calculated density: 6.5 g/cm³

***

B:
# SrPmCdAg | Alexandria via LeMat-Bulk | PBE-GGA | relaxed
data_SrPmCdAg
_space_group_name_H-M_alt 'P 1'
_space_group_IT_number 1
_cell_length_a 3.8771
_cell_length_b 3.8771
_cell_length_c 7.7887
_cell_angle_alpha 90.00
_cell_angle_beta 90.00
_cell_angle_gamma 90.00
loop_
_space_group_symop_operation_xyz
'x,y,z'
loop_
_atom_site_label
_atom_site_fract_x
_atom_site_fract_y
_atom_site_fract_z
Sr1 0.0000 0.0000 0.0000
Pm1 0.0000 0.0000 0.4844
Cd1 0.5000 0.5000 0.7182
Ag1 0.5000 0.5000 0.2743
# * size of the total moment: 0.000 μB per formula unit
# * calculated density: 6.4 g/cm³

***

Stability ranking, top entry: B; the second entry is 0.048 eV/atom less favorable.

***

A:
# PmTmCdAg | Alexandria via LeMat-Bulk | PBE-GGA | relaxed
data_PmTmCdAg
_space_group_name_H-M_alt 'P 1'
_space_group_IT_number 1
_cell_length_a 7.4286
_cell_length_b 7.4286
_cell_length_c 7.4286
_cell_angle_alpha 90.00
_cell_angle_beta 90.00
_cell_angle_gamma 90.00
loop_
_space_group_symop_operation_xyz
'x,y,z'
loop_
_atom_site_label
_atom_site_fract_x
_atom_site_fract_y
_atom_site_fract_z
Pm1 0.0000 0.0000 0.0000
Pm2 0.0000 0.5000 0.5000
Pm3 0.5000 0.0000 0.5000
Pm4 0.5000 0.5000 0.0000
Tm1 0.0000 0.0000 0.5000
Tm2 0.0000 0.5000 0.0000
Tm3 0.5000 0.0000 0.0000
Tm4 0.5000 0.5000 0.5000
Cd1 0.2500 0.2500 0.2500
Cd2 0.2500 0.7500 0.7500
Cd3 0.7500 0.2500 0.7500
Cd4 0.7500 0.7500 0.2500
Ag1 0.2500 0.2500 0.7500
Ag2 0.2500 0.7500 0.2500
Ag3 0.7500 0.2500 0.2500
Ag4 0.7500 0.7500 0.7500
# * size of the total moment: 0.000 μB per formula unit
# * calculated density: 8.7 g/cm³

***

B:
# PmTmCdAg | Alexandria via LeMat-Bulk | PBE-GGA | relaxed
data_PmTmCdAg
_space_group_name_H-M_alt 'P 1'
_space_group_IT_number 1
_cell_length_a 3.6872
_cell_length_b 3.6872
_cell_length_c 7.5124
_cell_angle_alpha 90.00
_cell_angle_beta 90.00
_cell_angle_gamma 90.00
loop_
_space_group_symop_operation_xyz
'x,y,z'
loop_
_atom_site_label
_atom_site_fract_x
_atom_site_fract_y
_atom_site_fract_z
Pm1 0.0000 0.0000 0.0000
Tm1 0.0000 0.0000 0.4836
Cd1 0.5000 0.5000 0.7284
Ag1 0.5000 0.5000 0.2665
# * size of the total moment: 0.178 μB per formula unit
# * calculated density: 8.7 g/cm³

***

Stability ranking, top entry: B; the second entry is 0.012 eV/atom less favorable.

***

A:
# PmYCdAg | Alexandria via LeMat-Bulk | PBE-GGA | relaxed
data_PmYCdAg
_space_group_name_H-M_alt 'P 1'
_space_group_IT_number 1
_cell_length_a 3.7242
_cell_length_b 3.7242
_cell_length_c 7.5376
_cell_angle_alpha 90.00
_cell_angle_beta 90.00
_cell_angle_gamma 90.00
loop_
_space_group_symop_operation_xyz
'x,y,z'
loop_
_atom_site_label
_atom_site_fract_x
_atom_site_fract_y
_atom_site_fract_z
Pm1 0.0000 0.0000 0.0000
Y1 0.0000 0.0000 0.4847
Cd1 0.5000 0.5000 0.7343
Ag1 0.5000 0.5000 0.2560
# * size of the total moment: 0.121 μB per formula unit
# * calculated density: 7.2 g/cm³

***

B:
# PmYCdAg | Alexandria via LeMat-Bulk | PBE-GGA | relaxed
data_PmYCdAg
_space_group_name_H-M_alt 'P 1'
_space_group_IT_number 1
_cell_length_a 7.4827
_cell_length_b 7.4827
_cell_length_c 7.4827
_cell_angle_alpha 90.00
_cell_angle_beta 90.00
_cell_angle_gamma 90.00
loop_
_space_group_symop_operation_xyz
'x,y,z'
loop_
_atom_site_label
_atom_site_fract_x
_atom_site_fract_y
_atom_site_fract_z
Pm1 0.0000 0.0000 0.0000
Pm2 0.0000 0.5000 0.5000
Pm3 0.5000 0.0000 0.5000
Pm4 0.5000 0.5000 0.0000
Y1 0.0000 0.0000 0.5000
Y2 0.0000 0.5000 0.0000
Y3 0.5000 0.0000 0.0000
Y4 0.5000 0.5000 0.5000
Cd1 0.2500 0.2500 0.7500
Cd2 0.2500 0.7500 0.2500
Cd3 0.7500 0.2500 0.2500
Cd4 0.7500 0.7500 0.7500
Ag1 0.2500 0.2500 0.2500
Ag2 0.2500 0.7500 0.7500
Ag3 0.7500 0.2500 0.7500
Ag4 0.7500 0.7500 0.2500
# * size of the total moment: 0.000 μB per formula unit
# * calculated density: 7.2 g/cm³

***

Stability ranking, top entry: A; the second entry is 0.008 eV/atom less favorable.

***

A:
# Pr3Cd2Ag3 | Alexandria via LeMat-Bulk | PBE-GGA | relaxed
data_Pr3Cd2Ag3
_space_group_name_H-M_alt 'P 1'
_space_group_IT_number 1
_cell_length_a 6.2221
_cell_length_b 6.2221
_cell_length_c 15.0196
_cell_angle_alpha 90.00
_cell_angle_beta 90.00
_cell_angle_gamma 133.97
loop_
_space_group_symop_operation_xyz
'x,y,z'
loop_
_atom_site_label
_atom_site_fract_x
_atom_site_fract_y
_atom_site_fract_z
Pr1 0.0798 0.9202 0.6076
Pr2 0.0798 0.9202 0.8924
Pr3 0.3581 0.6419 0.7500
Pr4 0.6419 0.3581 0.2500
Pr5 0.9202 0.0798 0.1076
Pr6 0.9202 0.0798 0.3924
Cd1 0.2122 0.7878 0.0979
Cd2 0.2122 0.7878 0.4021
Cd3 0.7878 0.2122 0.5979
Cd4 0.7878 0.2122 0.9021
Ag1 0.3627 0.6373 0.2500
Ag2 0.3925 0.6075 0.5429
Ag3 0.3925 0.6075 0.9571
Ag4 0.6075 0.3925 0.0429
Ag5 0.6075 0.3925 0.4571
Ag6 0.6373 0.3627 0.7500
# * size of the total moment: 0.000 μB per formula unit
# * calculated density: 7.7 g/cm³

***

B:
# Pr3Cd2Ag3 | Alexandria via LeMat-Bulk | PBE-GGA | relaxed
data_Pr3Cd2Ag3
_space_group_name_H-M_alt 'P 1'
_space_group_IT_number 1
_cell_length_a 3.8187
_cell_length_b 5.3213
_cell_length_c 20.5001
_cell_angle_alpha 90.00
_cell_angle_beta 90.00
_cell_angle_gamma 90.00
loop_
_space_group_symop_operation_xyz
'x,y,z'
loop_
_atom_site_label
_atom_site_fract_x
_atom_site_fract_y
_atom_site_fract_z
Pr1 0.0000 0.0000 0.0000
Pr2 0.0000 0.5000 0.1319
Pr3 0.0000 0.5000 0.8681
Pr4 0.5000 0.0000 0.3681
Pr5 0.5000 0.0000 0.6319
Pr6 0.5000 0.5000 0.5000
Cd1 0.0000 0.0000 0.2354
Cd2 0.0000 0.0000 0.7646
Cd3 0.5000 0.5000 0.2646
Cd4 0.5000 0.5000 0.7354
Ag1 0.0000 0.0000 0.5000
Ag2 0.0000 0.5000 0.3744
Ag3 0.0000 0.5000 0.6256
Ag4 0.5000 0.0000 0.1256
Ag5 0.5000 0.0000 0.8744
Ag6 0.5000 0.5000 0.0000
# * size of the total moment: 0.000 μB per formula unit
# * calculated density: 7.7 g/cm³

***

Stability ranking, top entry: A; the second entry is 0.036 eV/atom less favorable.

***

A:
# PrCdAg3 | Alexandria via LeMat-Bulk | PBE-GGA | relaxed
data_PrCdAg3
_space_group_name_H-M_alt 'P 1'
_space_group_IT_number 1
_cell_length_a 5.8402
_cell_length_b 5.9256
_cell_length_c 6.4771
_cell_angle_alpha 90.00
_cell_angle_beta 92.98
_cell_angle_gamma 90.00
loop_
_space_group_symop_operation_xyz
'x,y,z'
loop_
_atom_site_label
_atom_site_fract_x
_atom_site_fract_y
_atom_site_fract_z
Pr1 0.1607 0.2500 0.1651
Pr2 0.8393 0.7500 0.8349
Cd1 0.0747 0.7500 0.3722
Cd2 0.9253 0.2500 0.6278
Ag1 0.3476 0.0037 0.6694
Ag2 0.3476 0.4963 0.6694
Ag3 0.3595 0.7500 0.0419
Ag4 0.6405 0.2500 0.9581
Ag5 0.6524 0.5037 0.3306
Ag6 0.6524 0.9963 0.3306
# * size of the total moment: 0.000 μB per formula unit
# * calculated density: 8.6 g/cm³

***

B:
# PrCdAg3 | Alexandria via LeMat-Bulk | PBE-GGA | relaxed
data_PrCdAg3
_space_group_name_H-M_alt 'P 1'
_space_group_IT_number 1
_cell_length_a 6.9159
_cell_length_b 6.9159
_cell_length_c 5.7264
_cell_angle_alpha 90.00
_cell_angle_beta 90.00
_cell_angle_gamma 120.00
loop_
_space_group_symop_operation_xyz
'x,y,z'
loop_
_atom_site_label
_atom_site_fract_x
_atom_site_fract_y
_atom_site_fract_z
Pr1 0.3333 0.6667 0.2500
Pr2 0.6667 0.3333 0.7500
Cd1 0.0000 0.0000 0.0000
Cd2 0.0000 0.0000 0.5000
Ag1 0.2002 0.4003 0.7500
Ag2 0.2002 0.7998 0.7500
Ag3 0.4003 0.2002 0.2500
Ag4 0.5997 0.7998 0.7500
Ag5 0.7998 0.2002 0.2500
Ag6 0.7998 0.5997 0.2500
# * size of the total moment: 0.000 μB per formula unit
# * calculated density: 8.1 g/cm³

***

Stability ranking, top entry: A; the second entry is 0.104 eV/atom less favorable.

***

A:
# Pr2Cd3Ag4 | Alexandria via LeMat-Bulk | PBE-GGA | relaxed
data_Pr2Cd3Ag4
_space_group_name_H-M_alt 'P 1'
_space_group_IT_number 1
_cell_length_a 5.0085
_cell_length_b 5.0823
_cell_length_c 9.3975
_cell_angle_alpha 86.16
_cell_angle_beta 89.82
_cell_angle_gamma 60.50
loop_
_space_group_symop_operation_xyz
'x,y,z'
loop_
_atom_site_label
_atom_site_fract_x
_atom_site_fract_y
_atom_site_fract_z
Pr1 0.1784 0.1412 0.2310
Pr2 0.8216 0.8588 0.7690
Cd1 0.1494 0.2051 0.5863
Cd2 0.5000 0.5000 0.0000
Cd3 0.8506 0.7949 0.4137
Ag1 0.1620 0.1766 0.9050
Ag2 0.4764 0.5506 0.6426
Ag3 0.5236 0.4494 0.3574
Ag4 0.8380 0.8234 0.0950
# * size of the total moment: 0.000 μB per formula unit
# * calculated density: 8.4 g/cm³

***

B:
# Pr2Cd3Ag4 | Alexandria via LeMat-Bulk | PBE-GGA | relaxed
data_Pr2Cd3Ag4
_space_group_name_H-M_alt 'P 1'
_space_group_IT_number 1
_cell_length_a 8.7821
_cell_length_b 8.7821
_cell_length_c 8.4586
_cell_angle_alpha 90.00
_cell_angle_beta 90.00
_cell_angle_gamma 139.45
loop_
_space_group_symop_operation_xyz
'x,y,z'
loop_
_atom_site_label
_atom_site_fract_x
_atom_site_fract_y
_atom_site_fract_z
Pr1 0.1128 0.8872 0.9159
Pr2 0.3872 0.6128 0.4159
Pr3 0.6128 0.3872 0.5841
Pr4 0.8872 0.1128 0.0841
Cd1 0.0000 0.0000 0.5000
Cd2 0.0244 0.4756 0.7500
Cd3 0.4756 0.0244 0.2500
Cd4 0.5000 0.5000 0.0000
Cd5 0.5244 0.9756 0.7500
Cd6 0.9756 0.5244 0.2500
Ag1 0.1774 0.8226 0.5268
Ag2 0.1961 0.3039 0.7500
Ag3 0.3039 0.1961 0.2500
Ag4 0.3226 0.6774 0.0268
Ag5 0.6774 0.3226 0.9732
Ag6 0.6961 0.8039 0.7500
Ag7 0.8039 0.6961 0.2500
Ag8 0.8226 0.1774 0.4732
# * size of the total moment: 0.000 μB per formula unit
# * calculated density: 8.2 g/cm³

***

Stability ranking, top entry: A; the second entry is 0.039 eV/atom less favorable.